Here is a relaxed structure of Sr11C2N10 from the Alexandria database. Energies are from PBE.

The structure belongs to space group P4_2/mnm (No. 136); the cell edges are 15.514, 15.514 and 3.883 Å and the angles 90.00°, 90.00° and 90.00°. The distinct sites, in fractional coordinates, are Sr at (0.000, 0.000, 0.000), Sr at (0.020, 0.205, 0.500), Sr at (0.111, 0.618, 0.500), Sr at (0.171, 0.829, 0.000), C at (0.182, 0.182, 0.000), N at (0.032, 0.690, 0.000), N at (0.091, 0.909, 0.500), N at (0.125, 0.125, 0.000) and N at (0.238, 0.238, 0.000).

The value obtained for the formation energy (no corrections) is -0.659 eV/atom.

Here is a relaxed structure of ZnNiP from the Alexandria database. Energies are from PBE.

The structure belongs to space group P1 (No. 1); the cell edges are 3.942, 4.241 and 6.022 Å and the angles 107.09°, 102.34° and 101.36°. The distinct sites, in fractional coordinates, are Zn at (0.000, 0.000, 0.000), Zn at (0.440, 0.088, 0.532), Ni at (0.446, 0.673, 0.125), Ni at (0.806, 0.672, 0.546), P at (0.355, 0.632, 0.736) and P at (0.947, 0.551, 0.210).

Its total energy is -4.377 eV/atom. For the density of states at the Fermi level, the calculation gives 0.716 states/eV/f.u.

Here is a relaxed structure of EuPuZnPb from the Alexandria database. Energies are from PBE.

The structure belongs to space group F-43m (No. 216); the cell edges are 7.649, 7.649 and 7.649 Å and the angles 90.00°, 90.00° and 90.00°. The distinct sites, in fractional coordinates, are Eu at (0.000, 0.000, 0.000), Pu at (0.000, 0.000, 0.500), Zn at (0.250, 0.250, 0.750) and Pb at (0.250, 0.250, 0.250).

Its total energy is -7.609 eV/atom. For the density of states at the Fermi level, the calculation gives 13.526 states/eV/f.u.

Here is a relaxed structure of CdCo2Se from the Alexandria database. Energies are from PBE.

The structure belongs to space group C2/m (No. 12); the cell edges are 6.819, 3.028 and 6.235 Å and the angles 90.00°, 102.77° and 90.00°. The distinct sites, in fractional coordinates, are Cd at (0.000, 0.000, 0.000), Co at (0.242, 0.000, 0.681) and Se at (0.000, 0.500, 0.500).

The value obtained for the formation energy (no corrections) is 0.271 eV/atom. For the density of states at the Fermi level, the calculation gives 3.694 states/eV/f.u.

Here is a relaxed structure of NaTi4Se8 from the Alexandria database. Energies are from PBE.

The structure belongs to space group R-3m (No. 166, hexagonal axes); the cell edges are 7.1078, 7.1078 and 22.5562 Å and the angles 90.00°, 90.00° and 120.00°. The distinct sites, in fractional coordinates, are Na at (0.0000, 0.0000, 0.0000), Ti at (0.0000, 0.0000, 0.5000), Ti at (0.0000, 0.5000, 0.5000), Se at (0.0000, 0.0000, 0.2353) and Se at (0.0021, 0.5010, 0.2355).

The value obtained for the formation energy (no corrections) is -1.168 eV/atom. For the density of states at the Fermi level, the calculation gives 4.169 states/eV/f.u.

Here is a relaxed structure of PrHoGaGe from the Alexandria database. Energies are from PBE.

The structure belongs to space group Amm2 (No. 38); the cell edges are 4.063, 4.405 and 11.074 Å and the angles 90.00°, 90.00° and 90.00°. The distinct sites, in fractional coordinates, are Pr at (0.000, 0.000, 0.000), Ho at (0.500, 0.000, 0.280), Ga at (0.500, 0.000, 0.568) and Ge at (0.000, 0.000, 0.721).

Its total energy is -5.003 eV/atom. For the density of states at the Fermi level, the calculation gives 3.183 states/eV/f.u.

Here is a relaxed structure of Dy2CoGe4Pt3 from the Alexandria database. Energies are from PBE.

The structure belongs to space group P-4m2 (No. 115); the cell edges are 4.118, 4.118 and 10.702 Å and the angles 90.00°, 90.00° and 90.00°. The distinct sites, in fractional coordinates, are Dy at (0.000, 0.500, 0.237), Co at (0.500, 0.500, 0.000), Ge at (0.000, 0.000, 0.500), Ge at (0.000, 0.500, 0.873), Ge at (0.500, 0.500, 0.500), Pt at (0.000, 0.000, 0.000) and Pt at (0.000, 0.500, 0.644).

Its total energy is -6.101 eV/atom. For the density of states at the Fermi level, the calculation gives 5.142 states/eV/f.u.

Here is a relaxed structure of TbNiBIr2 from the Alexandria database. Energies are from PBE.

The structure belongs to space group P4/mmm (No. 123); the cell edges are 4.210, 4.210 and 4.102 Å and the angles 90.00°, 90.00° and 90.00°. The distinct sites, in fractional coordinates, are Tb at (0.000, 0.000, 0.000), Ni at (0.500, 0.500, 0.000), B at (0.500, 0.500, 0.500) and Ir at (0.000, 0.500, 0.500).

Its total energy is -7.581 eV/atom. For the density of states at the Fermi level, the calculation gives 0.702 states/eV/f.u.